# 1
Density functional theory data (PBE) for crystalline K3I2F at its relaxed geometry.

Cell lengths 4.6993, 13.7055, 14.1914 Å; angles 90.00, 90.00, 90.00 degrees
With the nearest neighbours (Å) after each atom.
Positions (direct):
K 0.7500 0.9301 0.8554  1 F 2.52
K 0.7500 0.4301 0.6446  1 F 2.52
K 0.2500 0.0699 0.1446  1 F 2.52
K 0.2500 0.5699 0.3554  1 F 2.52
K 0.7500 0.6471 0.9444  1 F 2.51
K 0.7500 0.1471 0.5556  1 F 2.51
K 0.2500 0.3529 0.0556  1 F 2.51
K 0.2500 0.8529 0.4444  1 F 2.51
K 0.7500 0.7726 0.2219  2 F 2.63
K 0.7500 0.2726 0.2781  2 F 2.63
K 0.2500 0.2274 0.7781  2 F 2.63
K 0.2500 0.7274 0.7219  2 F 2.63
I 0.7500 0.1661 0.9737  7 K 3.63-3.73
I 0.7500 0.6661 0.5263  7 K 3.63-3.73
I 0.2500 0.8339 0.0263  7 K 3.63-3.73
I 0.2500 0.3339 0.4737  7 K 3.63-3.73
I 0.7500 0.0128 0.3325  7 K 3.58-3.66
I 0.7500 0.5128 0.1675  7 K 3.58-3.66
I 0.2500 0.9872 0.6675  7 K 3.58-3.66
I 0.2500 0.4872 0.8325  7 K 3.58-3.66
F 0.7500 0.7546 0.8013  4 K 2.51-2.63
F 0.7500 0.2546 0.6987  4 K 2.51-2.63
F 0.2500 0.2454 0.1987  4 K 2.51-2.63
F 0.2500 0.7454 0.3013  4 K 2.51-2.63

Output
As for the volume: 38.08 Å³/atom. The value obtained for the uncorrected formation energy is -1.8701 eV per atom. For the excess energy over the best structure of this formula in the dataset, the calculation gives 0.00 kcal/mol of atoms. Its space group is Pnma, No. 62. Its theoretical density is 2.8 g cm⁻³. The value obtained for the total energy is -3.2475 eV per atom.

=====

# 2
Density functional theory data (PBE) for crystalline K2IF7 at its relaxed geometry.

Cell lengths 7.0293, 7.8152, 8.4050 Å; angles 73.62, 65.28, 63.27 degrees
With the nearest neighbours (Å) after each atom.
Positions (direct):
K 0.6130 0.9058 0.7148  7 F 2.66-2.90
K 0.7664 0.4058 0.2148  7 F 2.66-2.90
K 0.2336 0.5942 0.7852  7 F 2.66-2.90
K 0.3870 0.0942 0.2852  7 F 2.66-2.90
I 0.8821 0.2500 0.7500  7 F 2.04-2.13
I 0.1179 0.7500 0.2500  7 F 2.04-2.13
F 0.6645 0.5340 0.7566  1 I 2.05
F 0.0449 0.0340 0.2566  1 I 2.05
F 0.2682 0.8178 0.9877  1 I 2.04
F 0.2417 0.1296 0.6312  1 I 2.13
F 0.5903 0.2500 0.7500  1 I 2.05
F 0.9263 0.3178 0.4877  1 I 2.04
F 0.0025 0.3704 0.8688  1 I 2.13
F 0.9975 0.6296 0.1312  1 I 2.13
F 0.0737 0.6822 0.5123  1 I 2.04
F 0.4097 0.7500 0.2500  1 I 2.05
F 0.7583 0.8704 0.3688  1 I 2.13
F 0.7318 0.1822 0.0123  1 I 2.04
F 0.9551 0.9660 0.7434  1 I 2.05
F 0.3355 0.4660 0.2434  1 I 2.05

Output
As for the volume: 18.60 Å³/atom. The value obtained for the uncorrected formation energy is -2.1520 eV per atom. Its space group is C2/c, No. 15. Its theoretical density is 3.0 g cm⁻³. The value obtained for the total energy is -3.8364 eV per atom.

=====

# 3
Density functional theory data (PBE) for crystalline KIF3 at its relaxed geometry.

Cell lengths 4.8389, 4.8389, 4.8389 Å; angles 90.00, 90.00, 90.00 degrees
With the nearest neighbours (Å) after each atom.
Positions (direct):
I 0.5000 0.5000 0.5000  12 F 3.42
K 0.0000 0.0000 0.0000  6 F 2.42
F 0.0000 0.5000 0.0000  2 K 2.42
F 0.0000 0.0000 0.5000  2 K 2.42
F 0.5000 0.0000 0.0000  2 K 2.42

Output
As for the volume: 22.66 Å³/atom. The value obtained for the uncorrected formation energy is -0.9276 eV per atom. For the excess energy over the best structure of this formula in the dataset, the calculation gives 13.01 kcal/mol of atoms. Its space group is Pm-3m, No. 221. Its theoretical density is 3.3 g cm⁻³. The value obtained for the total energy is -2.5799 eV per atom.